Here is a relaxed MgTeIr2 crystal from Alexandria via LeMat-Bulk. Energies are from PBE-GGA.

Output
formation energy (no corrections) = 0.345 eV per formula unit
density of states at the Fermi level = 4.26 states/eV/f.u.
mass density = 13.09 g/cm3
total energy = -0.40632 Ry/atom
calculated volume = 68.0 Å³/f.u.
crystal system = cubic
spin magnetization = 0.73 μB/f.u.

a = 4.5822 Å, b = 4.5822 Å, c = 4.5822 Å
α = 60.00°, β = 60.00°, γ = 60.00°
With the nearest neighbours (Å) after each atom.
Sites, in units of the cell vectors:
Mg  0.0000  0.0000  0.0000  8 Ir 2.81
Te  0.5000  0.5000  0.5000  8 Ir 2.81
Ir  0.2500  0.2500  0.2500  4 Mg 2.81, 4 Te 2.81
Ir  0.7500  0.7500  0.7500  4 Te 2.81, 4 Mg 2.81